{
  "formula": "Li6Ca2Au3",
  "functional": "PBE",
  "state": "optimized geometry",
  "cell": [[4.1596, 0.0000, 0.0000], [0.0000, 8.0055, 0.0000], [0.0000, -4.0028, 6.9330]],
  "species": ["Li", "Au", "Au", "Li", "Li", "Li", "Li", "Ca", "Ca", "Li", "Au"],
  "fractional_positions": [[0.5000, 0.7264, 0.7264], [0.5000, 0.0000, 0.6073], [0.5000, 0.3927, 0.3927], [0.0000, 0.7942, 0.0000], [0.5000, 0.2736, 0.0000], [0.0000, 0.2058, 0.2058], [0.5000, 0.0000, 0.2736], [0.0000, 0.6667, 0.3333], [0.0000, 0.3333, 0.6667], [0.0000, 0.0000, 0.7942], [0.5000, 0.6073, 0.0000]],
  "mass_density_g_cm3": 5.13,
  "e_form_ev_per_atom": -0.41,
  "final_energy_ev_per_atom": -2.71,
  "magnetic_moment_mub_per_atom": 0.000,
  "sg": "No. 189"
}